(1)
Below is an optimized crystal structure of Nd2ZnGa4Ni3, with properties calculated at the PBE-GGA level.

Summary:
DFT formation energy   -12.4 kcal/mol of atoms
SG   P-4m2, No. 115

The structure in CIF format:
```
data_Nd2ZnGa4Ni3
_chemical_formula_sum 'Nd2 Zn1 Ga4 Ni3'
_symmetry_space_group_name_H-M 'P 1'
_symmetry_Int_Tables_number 1
_cell_length_a 4.1649
_cell_length_b 4.1649
_cell_length_c 10.1980
_cell_angle_alpha 90.00
_cell_angle_beta 90.00
_cell_angle_gamma 90.00
loop_
_symmetry_equiv_pos_as_xyz
'x,y,z'
loop_
_atom_site_label
_atom_site_fract_x
_atom_site_fract_y
_atom_site_fract_z
Nd1 0.5000 0.0000 0.2433
Nd2 0.0000 0.5000 0.7567
Zn1 0.5000 0.5000 0.5000
Ga1 0.5000 0.5000 0.0000
Ga2 0.0000 0.0000 0.0000
Ga3 0.5000 0.0000 0.6376
Ga4 0.0000 0.5000 0.3624
Ni1 0.0000 0.0000 0.5000
Ni2 0.5000 0.0000 0.8725
Ni3 0.0000 0.5000 0.1275
```


(2)
Below is an optimized crystal structure of PuHfZr2, with properties calculated at the PBE-GGA level.

Summary:
DFT formation energy   3.3 kcal/mol of atoms
SG   P4/mmm, No. 123

The structure in CIF format:
```
data_PuHfZr2
_chemical_formula_sum 'Pu1 Hf1 Zr2'
_symmetry_space_group_name_H-M 'P 1'
_symmetry_Int_Tables_number 1
_cell_length_a 3.2857
_cell_length_b 5.2950
_cell_length_c 5.2950
_cell_angle_alpha 90.00
_cell_angle_beta 90.00
_cell_angle_gamma 90.00
loop_
_symmetry_equiv_pos_as_xyz
'x,y,z'
loop_
_atom_site_label
_atom_site_fract_x
_atom_site_fract_y
_atom_site_fract_z
Hf1 0.5000 0.5000 0.5000
Zr1 0.0000 0.0000 0.5000
Zr2 0.0000 0.5000 0.0000
Pu1 0.5000 0.0000 0.0000
```


(3)
Below is an optimized crystal structure of V4FeIr, with properties calculated at the PBE-GGA level.

Summary:
DFT formation energy   5.1 kcal/mol of atoms
SG   C2/m, No. 12

The structure in CIF format:
```
data_V4FeIr
_chemical_formula_sum 'V4 Fe1 Ir1'
_symmetry_space_group_name_H-M 'P 1'
_symmetry_Int_Tables_number 1
_cell_length_a 3.9945
_cell_length_b 3.9976
_cell_length_c 5.7851
_cell_angle_alpha 89.84
_cell_angle_beta 89.91
_cell_angle_gamma 90.00
loop_
_symmetry_equiv_pos_as_xyz
'x,y,z'
loop_
_atom_site_label
_atom_site_fract_x
_atom_site_fract_y
_atom_site_fract_z
V1 0.5012 0.9963 0.2658
V2 0.5014 0.9982 0.7305
V3 0.0018 0.4974 0.7303
V4 0.0008 0.4972 0.2660
Fe1 0.0013 0.9973 0.4981
Ir1 0.5013 0.4973 0.9981
```


(4)
Below is an optimized crystal structure of CaNi4P2, with properties calculated at the PBE-GGA level.

Summary:
DFT formation energy   -15.8 kcal/mol of atoms
SG   P4_2/mnm, No. 136

The structure in CIF format:
```
data_CaNi4P2
_chemical_formula_sum 'Ca2 Ni8 P4'
_symmetry_space_group_name_H-M 'P 1'
_symmetry_Int_Tables_number 1
_cell_length_a 3.5444
_cell_length_b 7.1756
_cell_length_c 7.1756
_cell_angle_alpha 90.00
_cell_angle_beta 90.00
_cell_angle_gamma 90.00
loop_
_symmetry_equiv_pos_as_xyz
'x,y,z'
loop_
_atom_site_label
_atom_site_fract_x
_atom_site_fract_y
_atom_site_fract_z
Ca1 0.5000 0.0000 0.0000
Ca2 0.0000 0.5000 0.5000
Ni1 0.0000 0.0817 0.3337
Ni2 0.0000 0.9183 0.6663
Ni3 0.5000 0.1663 0.5817
Ni4 0.5000 0.8337 0.4183
Ni5 0.5000 0.4183 0.8337
Ni6 0.5000 0.5817 0.1663
Ni7 0.0000 0.3337 0.0817
Ni8 0.0000 0.6663 0.9183
P1 0.0000 0.2238 0.7762
P2 0.0000 0.7762 0.2238
P3 0.5000 0.7238 0.7238
P4 0.5000 0.2762 0.2762
```


(5)
Below is an optimized crystal structure of SrYMg14, with properties calculated at the PBE-GGA level.

Summary:
DFT formation energy   1.0 kcal/mol of atoms
SG   Amm2, No. 38

The structure in CIF format:
```
data_SrYMg14
_chemical_formula_sum 'Sr1 Y1 Mg14'
_symmetry_space_group_name_H-M 'P 1'
_symmetry_Int_Tables_number 1
_cell_length_a 6.6851
_cell_length_b 6.6851
_cell_length_c 10.5891
_cell_angle_alpha 90.00
_cell_angle_beta 90.00
_cell_angle_gamma 120.95
loop_
_symmetry_equiv_pos_as_xyz
'x,y,z'
loop_
_atom_site_label
_atom_site_fract_x
_atom_site_fract_y
_atom_site_fract_z
Sr1 0.3279 0.6721 0.5000
Y1 0.8434 0.1566 0.5000
Mg1 0.8309 0.1691 0.0000
Mg2 0.3293 0.6707 0.0000
Mg3 0.3400 0.1757 0.5000
Mg4 0.3380 0.1711 0.0000
Mg5 0.8243 0.6600 0.5000
Mg6 0.8289 0.6620 0.0000
Mg7 0.1680 0.3284 0.2377
Mg8 0.1680 0.3284 0.7623
Mg9 0.6716 0.8320 0.2377
Mg10 0.6716 0.8320 0.7623
Mg11 0.6707 0.3293 0.2512
Mg12 0.6707 0.3293 0.7488
Mg13 0.1584 0.8416 0.2413
Mg14 0.1584 0.8416 0.7587
```


(6)
Below is an optimized crystal structure of Ac3TeO7, with properties calculated at the PBE-GGA level.

Summary:
Formation energy (no corrections)   -2.685 eV/atom
SG   C222_1, No. 20

The structure in CIF format:
```
data_Ac3TeO7
_chemical_formula_sum 'Ac6 Te2 O14'
_symmetry_space_group_name_H-M 'P 1'
_symmetry_Int_Tables_number 1
_cell_length_a 7.0365
_cell_length_b 7.0365
_cell_length_c 8.1899
_cell_angle_alpha 90.00
_cell_angle_beta 90.00
_cell_angle_gamma 110.06
loop_
_symmetry_equiv_pos_as_xyz
'x,y,z'
loop_
_atom_site_label
_atom_site_fract_x
_atom_site_fract_y
_atom_site_fract_z
Ac1 0.4988 0.4988 0.5000
Ac2 0.5012 0.5012 0.0000
Ac3 0.5238 0.9997 0.2502
Ac4 0.4762 0.0003 0.7502
Ac5 0.9997 0.5238 0.7498
Ac6 0.0003 0.4762 0.2498
Te1 0.0001 0.0001 0.5000
Te2 0.9999 0.9999 0.0000
O1 0.6891 0.9332 0.5216
O2 0.3109 0.0668 0.0216
O3 0.9332 0.6891 0.4784
O4 0.0668 0.3109 0.9784
O5 0.0683 0.3122 0.5210
O6 0.9317 0.6878 0.0210
O7 0.3122 0.0683 0.4790
O8 0.6878 0.9317 0.9790
O9 0.3708 0.6292 0.2500
O10 0.6292 0.3708 0.7500
O11 0.6324 0.3676 0.2500
O12 0.3676 0.6324 0.7500
O13 0.9558 0.0442 0.2500
O14 0.0442 0.9558 0.7500
```